Below is a geometry-optimized Ti2Be2In structure, with properties calculated at the PBEsol level.

POSCAR file:
```
Ti2Be2In
1.0
6.669 0.000 0.000
0.000 6.669 0.000
0.000 0.000 3.099
Ti Be In
4 4 2
direct
0.176 0.324 0.000
0.324 0.824 0.000
0.676 0.176 0.000
0.824 0.676 0.000
0.112 0.612 0.500
0.388 0.112 0.500
0.612 0.888 0.500
0.888 0.388 0.500
0.000 0.000 0.500
0.500 0.500 0.500
```

Values from the calculation:
Total energy = -57.07 eV/cell
DOS(E_F) = 0.4008 states/eV per atom
Formation energy from the elements = -182 meV/atom
Size of the total moment = 0.000 μB/f.u.